(1)
VASP calculation (GGA-PBE) on an optimized crystal structure of NdYSeO2.

Results
space-group type = P2_1/m (11)
formation energy without anion corrections = -15.17 eV per formula unit

Cell: 4.1004 6.6316 7.7687 Å, 107.97 90.00 90.00°
Sites, in units of the cell vectors:
Nd 0.7500 0.3114 0.0728
Nd 0.2500 0.6886 0.9272
Se 0.7500 0.9529 0.2468
Se 0.2500 0.0471 0.7532
Y 0.7500 0.3269 0.5811
Y 0.2500 0.6731 0.4189
O 0.7500 0.5169 0.8726
O 0.2500 0.4857 0.6145
O 0.2500 0.4831 0.1274
O 0.7500 0.5143 0.3855

=====

(2)
VASP calculation (GGA-PBE) on an optimized crystal structure of NdZrSe2O.

Results
space-group type = P4/nmm (129)
formation energy without anion corrections = -10.44 eV per formula unit

Cell: 3.9378 3.9378 13.8470 Å, 90.00 90.00 90.00°
Sites, in units of the cell vectors:
O 0.5000 0.5000 0.5000
O 0.0000 0.0000 0.5000
Nd 0.5000 0.0000 0.5894
Nd 0.0000 0.5000 0.4106
Se 0.5000 0.0000 0.8939
Se 0.0000 0.5000 0.7142
Se 0.0000 0.5000 0.1061
Se 0.5000 0.0000 0.2858
Zr 0.5000 0.0000 0.0981
Zr 0.0000 0.5000 0.9019

=====

(3)
VASP calculation (GGA-PBE) on an optimized crystal structure of Nd2SiO.

Results
space-group type = Imm2 (44)
formation energy without anion corrections = -5.37 eV per formula unit
distance to the lowest polymorph of the same formula = 201.8 meV per atom

Cell: 3.3277 3.5632 7.5220 Å, 103.70 102.78 90.00°
Sites, in units of the cell vectors:
Nd 0.1837 0.6837 0.3675
Nd 0.9720 0.9720 0.9440
Si 0.8059 0.3059 0.6118
O 0.5383 0.5383 0.0767

=====

(4)
VASP calculation (GGA-PBE) on an optimized crystal structure of NdSiO.

Results
space-group type = P2_1/m (11)
formation energy without anion corrections = -5.78 eV per formula unit

Cell: 4.1229 3.9658 7.4397 Å, 90.00 106.07 90.00°
Sites, in units of the cell vectors:
Si 0.5430 0.7500 0.5850
Si 0.4570 0.2500 0.4150
O 0.7469 0.2500 0.9938
O 0.2531 0.7500 0.0062
Nd 0.1671 0.2500 0.8340
Nd 0.8329 0.7500 0.1660